# 1
# ZrSn2BiN

Crystalline ZrSn2BiN at its relaxed geometry (PBEsol, Alexandria).

The structure in POSCAR format:
```
ZrSn2BiN
1.0
3.961 0.000 0.000
0.000 5.797 0.000
0.000 0.000 5.797
Sn Zr Bi N
2 1 1 1
Cartesian
0.000 2.899 0.000 Sn
0.000 0.000 2.899 Sn
0.000 0.000 0.000 Zr
1.980 2.899 2.899 Bi
1.980 0.000 0.000 N
```

Summary:
Energy relative to the elements, uncorrected in eV per atom: 0.2579



# 2
# YVB4

Crystalline YVB4 at its relaxed geometry (PBEsol, Alexandria).

The structure in POSCAR format:
```
YVB4
1.0
-0.073 -2.249 2.544
4.482 2.894 2.688
-7.644 6.614 5.626
V Y B
4 4 16
Cartesian
-0.545 6.382 5.625 V
-2.617 3.127 2.688 V
-5.339 7.144 6.161 V
2.177 2.364 2.153 V
-3.296 5.396 4.675 Y
-2.562 8.147 7.127 Y
0.134 4.112 3.639 Y
-0.600 1.362 1.186 Y
-1.975 3.021 4.880 B
-6.823 5.666 7.079 B
-1.260 4.239 5.977 B
-2.078 5.478 7.049 B
-1.158 1.782 3.809 B
0.471 4.431 6.198 B
3.588 1.594 3.779 B
0.632 1.528 3.636 B
1.990 3.739 5.629 B
2.066 2.378 4.429 B
-5.226 3.521 5.229 B
1.328 0.304 2.574 B
-4.564 6.955 8.284 B
-3.867 5.732 7.222 B
-5.302 4.881 6.429 B
-3.707 2.828 4.660 B
```

Summary:
Energy of formation in meV/atom: -779



# 3
# Zr2RhSe

Crystalline Zr2RhSe at its relaxed geometry (PBEsol, Alexandria).

The structure in POSCAR format:
```
Zr2RhSe
1.0
-1.006 -2.840 -2.336
2.623 1.144 -2.520
2.487 -2.056 4.540
Zr Se Rh
2 1 1
Cartesian
1.145 -2.872 -0.112 Zr
0.000 0.000 0.000 Zr
2.959 -0.880 -0.204 Se
0.808 -0.848 -2.428 Rh
```

Summary:
Energy relative to the elements, uncorrected in eV per atom: -0.7123



# 4
# Li5PS4Cl2

Crystalline Li5PS4Cl2 at its relaxed geometry (PBEsol, Alexandria).

The structure in POSCAR format:
```
Li5PS4Cl2
1.0
5.919 0.000 0.000
-2.960 5.130 0.000
0.000 0.000 7.132
S Li P Cl
4 5 1 2
Cartesian
1.609 3.468 0.000 S
2.155 0.000 5.464 S
2.155 0.000 1.668 S
4.569 1.662 0.000 S
0.639 1.995 5.372 Li
3.598 3.135 1.760 Li
0.639 1.995 1.760 Li
3.598 3.135 5.372 Li
3.671 0.000 3.566 Li
3.354 0.000 0.000 P
2.082 3.295 3.566 Cl
-0.878 1.835 3.566 Cl
```

Summary:
Energy relative to the elements, uncorrected in eV per atom: -1.2325



# 5
# LiHoAu2

Crystalline LiHoAu2 at its relaxed geometry (PBEsol, Alexandria).

The structure in POSCAR format:
```
LiHoAu2
1.0
-0.954 4.246 1.911
-3.865 2.406 -1.365
-3.668 0.493 2.982
Au Ho Li
2 1 1
Cartesian
-6.365 5.359 2.646 Au
-2.122 1.786 0.882 Au
-4.244 3.572 1.764 Ho
0.000 0.000 0.000 Li
```

Summary:
Energy of formation in meV/atom: -700



# 6
# CaSc2P

Crystalline CaSc2P at its relaxed geometry (PBEsol, Alexandria).

The structure in POSCAR format:
```
CaSc2P
1.0
3.325 0.000 0.000
0.000 3.325 0.000
0.000 0.000 8.559
P Ca Sc
1 1 2
Cartesian
1.662 1.662 4.279 P
1.662 1.662 0.000 Ca
0.000 0.000 5.685 Sc
0.000 0.000 2.873 Sc
```

Summary:
Energy of formation in meV/atom: -507



# 7
# Mo2RuRh

Crystalline Mo2RuRh at its relaxed geometry (PBEsol, Alexandria).

The structure in POSCAR format:
```
Mo2RuRh
1.0
-1.068 3.030 -0.580
-3.004 -0.881 0.927
1.176 1.398 5.142
Rh Mo Ru
1 2 1
Cartesian
-2.036 1.074 0.174 Rh
0.880 1.045 3.845 Mo
0.297 0.353 1.298 Mo
-1.448 1.774 2.745 Ru
```

Summary:
Energy of formation in meV/atom: 203
Energy above the most stable polymorph in this dataset in kJ/mol of atoms: 27.3



# 8
# Hg4C

Crystalline Hg4C at its relaxed geometry (PBEsol, Alexandria).

The structure in POSCAR format:
```
Hg4C
1.0
3.944 0.000 0.000
0.000 3.944 0.000
-1.972 -1.972 7.340
Hg C
4 1
Cartesian
1.972 0.000 3.670 Hg
0.000 1.972 3.670 Hg
0.000 0.000 6.002 Hg
1.972 1.972 1.338 Hg
0.000 0.000 0.000 C
```

Summary:
Energy of formation in meV/atom: 1392



# 9
# YTl2Se

Crystalline YTl2Se at its relaxed geometry (PBEsol, Alexandria).

The structure in POSCAR format:
```
YTl2Se
1.0
4.213 0.000 0.000
0.000 4.213 0.000
0.000 0.000 5.849
Y Tl Se
1 2 1
Cartesian
2.106 2.106 0.000 Y
0.000 0.000 4.367 Tl
0.000 0.000 1.482 Tl
2.106 2.106 2.924 Se
```

Summary:
Energy relative to the elements, uncorrected in eV per atom: -0.3984
Energy above the most stable polymorph in this dataset in kJ/mol of atoms: 22.2



# 10
# CaRe2Cl

Crystalline CaRe2Cl at its relaxed geometry (PBEsol, Alexandria).

The structure in POSCAR format:
```
CaRe2Cl
1.0
3.089 0.000 0.000
0.000 3.089 0.000
0.000 0.000 7.923
Ca Re Cl
1 2 1
Cartesian
0.000 0.000 4.002 Ca
0.000 0.000 0.433 Re
1.545 1.545 1.705 Re
1.545 1.545 5.745 Cl
```

Summary:
Energy relative to the elements, uncorrected in eV per atom: -0.0651
Energy above the most stable polymorph in this dataset in kJ/mol of atoms: 0.0



# 11
# LaInPb2

Crystalline LaInPb2 at its relaxed geometry (PBEsol, Alexandria).

The structure in POSCAR format:
```
LaInPb2
1.0
-1.883 -3.004 0.485
-0.272 -2.389 -2.650
7.978 -6.683 2.789
Pb In La
2 1 1
Cartesian
4.306 -9.023 0.443 Pb
7.913 -6.647 2.762 Pb
2.986 -6.080 0.342 In
1.506 -3.047 0.176 La
```

Summary:
Energy of formation in meV/atom: -130



# 12
# KReAs4

Crystalline KReAs4 at its relaxed geometry (PBEsol, Alexandria).

The structure in POSCAR format:
```
KReAs4
1.0
-0.231 -3.231 4.468
3.322 -4.388 0.407
4.155 0.012 3.632
K Re As
1 1 4
Cartesian
5.434 -5.706 6.380 K
0.000 0.000 0.000 Re
2.587 -4.478 5.441 As
4.389 -5.065 3.381 As
4.811 -2.833 5.017 As
2.704 -2.839 3.175 As
```

Summary:
Energy of formation in meV/atom: 913



Number 1: calculated volume 26.62 Å³/atom. Number 2: calculated volume 9.78 Å³/atom. Number 3: calculated volume 17.72 Å³/atom. Number 4: calculated volume 18.05 Å³/atom. Number 5: calculated volume 18.98 Å³/atom. Number 6: calculated volume 23.65 Å³/atom. Number 7: calculated volume 14.54 Å³/atom. Number 8: calculated volume 22.84 Å³/atom. Number 9: calculated volume 25.95 Å³/atom. Number 10: calculated volume 18.90 Å³/atom. Number 11: calculated volume 29.32 Å³/atom. Number 12: calculated volume 19.81 Å³/atom.